A geometry-optimized Cs2ZnFe3F12 structure. Source: Alexandria via LeMat-Bulk, functional PBE+U.

Unit cell a=7.4775 b=7.4775 c=7.4775 alpha=60.44 beta=60.44 gamma=60.44
Site moments in Bohr magnetons follow the coordinates.
Fractional positions:
1 F 0.9317 0.3159 0.3159  0.10
2 F 0.9294 0.3263 0.9294  0.06
3 F 0.0706 0.6737 0.0706  0.06
4 F 0.3159 0.9317 0.3159  0.10
5 F 0.0706 0.0706 0.6737  0.06
6 F 0.6841 0.6841 0.0683  0.10
7 F 0.0683 0.6841 0.6841  0.10
8 F 0.9294 0.9294 0.3263  0.06
9 F 0.3263 0.9294 0.9294  0.06
10 F 0.6737 0.0706 0.0706  0.06
11 F 0.6841 0.0683 0.6841  0.10
12 F 0.3159 0.3159 0.9317  0.10
13 Fe 0.0000 0.0000 0.5000  4.29
14 Fe 0.0000 0.5000 0.0000  4.29
15 Fe 0.5000 0.0000 0.0000  4.29
16 Cs 0.3732 0.3732 0.3732  0.00
17 Cs 0.6268 0.6268 0.6268  0.00
18 Zn 0.0000 0.0000 0.0000  0.02

Computed properties:
- space-group type = R-3m (166)
- final energy (eV for the cell shown) = -88.583